LuBeTlPt: relaxed, GGA-PBE.

Cell: 4.7062 4.7062 4.7062 Å, 60.00 60.00 60.00°
Element x y z (fractional)
Be 0.7500 0.7500 0.7500
Lu 0.5000 0.5000 0.5000
Pt 0.2500 0.2500 0.2500
Tl 0.0000 0.0000 0.0000

Symmetry: F-43m, No. 216
Crystal system: cubic

YInFeMo: relaxed, GGA-PBE.

Cell: 4.6953 4.6953 4.6953 Å, 60.00 60.00 60.00°
Element x y z (fractional)
Fe 0.7500 0.7500 0.7500
In 0.0000 0.0000 0.0000
Mo 0.5000 0.5000 0.5000
Y 0.2500 0.2500 0.2500

Symmetry: F-43m, No. 216
Crystal system: cubic

no.,energy above the most stable polymorph in this dataset (meV per atom)
1,0
2,77